Compound: NaBiNF2
Source: the Alexandria database
Functional: PBE-GGA
Structure: relaxed

Output
**D(E_F)**: 1.9 states/eV per cell
**Raw total energy**: -22.4 eV for the cell shown
**Energy relative to the elements, uncorrected**: -1028 meV per atom

a b c (Å): 4.661 4.661 4.226
angles (deg): 90.00 90.00 90.00
Atoms (fractional coordinates):
Bi  0.000  0.000  0.000
F  0.000  0.500  0.000
F  0.500  0.000  0.000
Na  0.500  0.500  0.500
N  0.000  0.000  0.500

---

Compound: CaVZn3
Source: the Alexandria database
Functional: PBE-GGA
Structure: relaxed

Output
**DFT formation energy**: 1292 meV/atom
**D(E_F)**: 9.4 states/eV per cell
**Raw total energy**: -8.5 eV for the cell shown

a b c (Å): 5.332 5.332 5.332
angles (deg): 90.00 90.00 90.00
Atoms (fractional coordinates):
Zn  0.500  0.000  0.000
Zn  0.000  0.500  0.000
Zn  0.000  0.000  0.500
Ca  0.000  0.000  0.000
V  0.500  0.500  0.500

---

Compound: Mg2RhCl
Source: the Alexandria database
Functional: PBE-GGA
Structure: relaxed

Output
**D(E_F)**: 0.7 states/eV per cell
**Raw total energy**: -15.5 eV for the cell shown
**Energy relative to the elements, uncorrected**: -776 meV per atom

a b c (Å): 3.211 3.211 7.702
angles (deg): 76.74 76.74 89.03
Atoms (fractional coordinates):
Rh  0.250  0.250  0.250
Mg  0.638  0.638  0.455
Mg  0.862  0.862  0.045
Cl  0.750  0.750  0.750

---

Compound: Pa4SiGeS2
Source: the Alexandria database
Functional: PBE-GGA
Structure: relaxed

Output
**D(E_F)**: 10.5 states/eV per cell
**Raw total energy**: -64.5 eV for the cell shown
**Energy relative to the elements, uncorrected**: -1032 meV per atom

a b c (Å): 4.061 6.774 7.032
angles (deg): 69.76 90.00 90.00
Atoms (fractional coordinates):
Pa  0.500  0.760  0.250
Pa  0.000  0.764  0.742
Pa  0.000  0.236  0.258
Pa  0.500  0.240  0.750
S  0.500  0.000  0.500
S  0.000  0.000  0.000
Si  0.000  0.500  0.500
Ge  0.500  0.500  0.000

---

Compound: Pm2Si2BIr2
Source: the Alexandria database
Functional: PBE-GGA
Structure: relaxed

Output
**D(E_F)**: 2.3 states/eV per cell
**Raw total energy**: -51.3 eV for the cell shown
**Energy relative to the elements, uncorrected**: -936 meV per atom

a b c (Å): 4.166 5.957 5.925
angles (deg): 73.66 69.42 69.53
Atoms (fractional coordinates):
Ir  0.210  0.679  0.901
Ir  0.790  0.321  0.099
Pm  0.431  0.832  0.306
Pm  0.569  0.168  0.694
Si  0.846  0.606  0.702
Si  0.154  0.394  0.298
B  0.000  0.000  0.000

---

Compound: CrNi
Source: the Alexandria database
Functional: PBE-GGA
Structure: relaxed

Output
**DFT formation energy**: 36 meV/atom
**D(E_F)**: 4.4 states/eV per cell
**Raw total energy**: -30.7 eV for the cell shown

a b c (Å): 2.435 2.435 7.629
angles (deg): 90.00 90.00 99.36
Atoms (fractional coordinates):
Cr  0.500  0.500  0.743
Cr  0.000  0.000  0.007
Ni  0.000  0.000  0.499
Ni  0.500  0.500  0.251

---

Compound: TaV5Fe2
Source: the Alexandria database
Functional: PBE-GGA
Structure: relaxed

Output
**DFT formation energy**: 152 meV/atom
**D(E_F)**: 11.6 states/eV per cell
**Raw total energy**: -73.2 eV for the cell shown

a b c (Å): 4.263 5.527 5.527
angles (deg): 78.29 67.31 67.31
Atoms (fractional coordinates):
Fe  0.683  0.817  0.817
Fe  0.317  0.183  0.183
V  0.000  0.500  0.500
V  0.337  0.483  0.842
V  0.663  0.158  0.517
V  0.663  0.517  0.158
V  0.337  0.842  0.483
Ta  0.000  0.000  0.000

---

Compound: Al2TeIr
Source: the Alexandria database
Functional: PBE-GGA
Structure: relaxed

Output
**D(E_F)**: 2.0 states/eV per cell
**Raw total energy**: -18.8 eV for the cell shown
**Energy relative to the elements, uncorrected**: 178 meV per atom

a b c (Å): 4.931 4.931 4.931
angles (deg): 128.45 128.45 75.90
Atoms (fractional coordinates):
Ir  0.500  0.500  0.000
Al  0.000  0.000  0.000
Al  0.250  0.750  0.500
Te  0.750  0.250  0.500

---

Compound: Re2As
Source: the Alexandria database
Functional: PBE-GGA
Structure: relaxed

Output
**DFT formation energy**: 72 meV/atom
**D(E_F)**: 3.7 states/eV per cell
**Raw total energy**: -58.7 eV for the cell shown

a b c (Å): 7.124 7.124 4.491
angles (deg): 90.00 90.00 156.39
Atoms (fractional coordinates):
As  0.792  0.208  0.750
As  0.208  0.792  0.250
Re  0.449  0.551  0.750
Re  0.885  0.115  0.250
Re  0.551  0.449  0.250
Re  0.115  0.885  0.750